(1)
DFT (meta-GGA SCAN) results for a crystal of MoPbAu4 relaxed with PBEsol.

## Properties
* energy of formation from the pure elements: 381 meV per atom
* uncorrected energy: -64.168 eV per atom
* N(E_F): 0.335 states/eV per atom
* space group: F-43m, No. 216

a b c (Å): 5.4769 5.4769 5.4769
angles (deg): 60.00 60.00 60.00
Closest atoms and distances in Å follow each position.
Fractional positions:
1 Au 0.3754 0.3754 0.3754  6 Au 2.73-2.75
2 Au 0.3754 0.8738 0.3754  6 Au 2.73-2.75
3 Au 0.3754 0.3754 0.8738  6 Au 2.73-2.75
4 Au 0.8738 0.3754 0.3754  6 Au 2.73-2.75
5 Pb 0.0000 0.0000 0.0000  12 Au 3.21, 4 Mo 3.35
6 Mo 0.7500 0.7500 0.7500  12 Au 3.21, 4 Pb 3.35


(2)
DFT (meta-GGA SCAN) results for a crystal of MoPb2Au relaxed with PBEsol.

## Properties
* energy of formation from the pure elements: 654 meV per atom
* uncorrected energy: -63.247 eV per atom
* N(E_F): 0.786 states/eV per atom
* space group: Cmmm, No. 65
* offset from the most stable computed form: 0.070 eV/atom

a b c (Å): 3.0871 3.0871 9.2662
angles (deg): 90.00 90.00 104.96
Closest atoms and distances in Å follow each position.
Fractional positions:
1 Pb 0.0000 0.0000 0.7607  2 Mo 2.91, 2 Au 3.06, 4 Pb 3.09
2 Pb 0.0000 0.0000 0.2393  2 Mo 2.91, 2 Au 3.06, 4 Pb 3.09
3 Au 0.5000 0.5000 0.5000  4 Pb 3.06, 4 Au 3.09
4 Mo 0.5000 0.5000 0.0000  4 Pb 2.91, 4 Mo 3.09


(3)
DFT (meta-GGA SCAN) results for a crystal of MoPb2Au relaxed with PBEsol.

## Properties
* energy of formation from the pure elements: 639 meV per atom
* uncorrected energy: -63.262 eV per atom
* N(E_F): 0.329 states/eV per atom
* space group: I4/mmm, No. 139
* offset from the most stable computed form: 0.055 eV/atom

a b c (Å): 4.3656 4.3656 5.3145
angles (deg): 114.25 114.25 90.00
Closest atoms and distances in Å follow each position.
Fractional positions:
1 Au 0.5000 0.5000 0.0000  8 Pb 3.07, 4 Mo 3.09
2 Mo 0.0000 0.0000 0.0000  8 Pb 3.07, 4 Au 3.09
3 Pb 0.2500 0.7500 0.5000  4 Mo 3.07, 4 Au 3.07, 4 Pb 3.09
4 Pb 0.7500 0.2500 0.5000  4 Mo 3.07, 4 Au 3.07, 4 Pb 3.09


(4)
DFT (meta-GGA SCAN) results for a crystal of MoPb2Au relaxed with PBEsol.

## Properties
* energy of formation from the pure elements: 724 meV per atom
* uncorrected energy: -63.177 eV per atom
* N(E_F): 0.638 states/eV per atom
* space group: F-43m, No. 216
* offset from the most stable computed form: 0.141 eV/atom

a b c (Å): 4.9844 4.9844 4.9844
angles (deg): 60.00 60.00 60.00
Closest atoms and distances in Å follow each position.
Fractional positions:
1 Au 0.5000 0.5000 0.5000  4 Mo 3.05, 4 Pb 3.05
2 Pb 0.0000 0.0000 0.0000  4 Mo 3.05, 4 Pb 3.05
3 Pb 0.7500 0.7500 0.7500  4 Pb 3.05, 4 Au 3.05
4 Mo 0.2500 0.2500 0.2500  4 Pb 3.05, 4 Au 3.05


(5)
DFT (meta-GGA SCAN) results for a crystal of MoPb2Au relaxed with PBEsol.

## Properties
* energy of formation from the pure elements: 584 meV per atom
* uncorrected energy: -63.317 eV per atom
* N(E_F): 0.491 states/eV per atom
* space group: I-4m2, No. 119
* offset from the most stable computed form: 0.000 eV/atom

a b c (Å): 4.1273 4.1273 5.6573
angles (deg): 111.39 111.39 90.00
Closest atoms and distances in Å follow each position.
Fractional positions:
1 Au 0.5000 0.5000 0.0000  8 Pb 2.92-3.18, 4 Mo 3.18
2 Mo 0.2500 0.7500 0.5000  8 Pb 2.92-3.18, 4 Au 3.18
3 Pb 0.0000 0.0000 0.0000  4 Au 2.92, 4 Pb 3.18, 4 Mo 3.18
4 Pb 0.7500 0.2500 0.5000  4 Mo 2.92, 4 Pb 3.18, 4 Au 3.18


(6)
DFT (meta-GGA SCAN) results for a crystal of ReMoPbAu2 relaxed with PBEsol.

## Properties
* energy of formation from the pure elements: 1299 meV per atom
* uncorrected energy: -62.717 eV per atom
* N(E_F): 0.743 states/eV per atom
* space group: P4/mmm, No. 123

a b c (Å): 4.5940 5.0579 5.0579
angles (deg): 90.00 90.00 90.00
Closest atoms and distances in Å follow each position.
Fractional positions:
1 Mo 0.0000 0.0000 0.0000  2 Re 2.30, 4 Au 2.53
2 Au 0.0000 0.5000 0.0000  2 Mo 2.53
3 Au 0.0000 0.0000 0.5000  2 Mo 2.53
4 Re 0.5000 0.0000 0.0000  2 Mo 2.30
5 Pb 0.5000 0.5000 0.5000  8 Au 3.42, 4 Re 3.58